Here is an optimized crystal structure of Li2PbAu2 from the Alexandria database. Energies are from PBE.

Results
size of the total moment	0.0	μB/cell
DOS(E_F)	0.229	states/eV/atom
SG	P4/mbm, No. 127
energy relative to the elements	-0.353	eV/atom
distance to the lowest polymorph of the same formula	0.050	eV per atom
calculated volume	185.0	Å³/cell
energy	-15.86	eV per formula unit

Cell: 7.771 7.771 3.065 Å, 90.00 90.00 90.00°
Sites, in units of the cell vectors:
1 Li 0.136 0.364 0.000
2 Li 0.364 0.864 0.000
3 Li 0.636 0.136 0.000
4 Li 0.864 0.636 0.000
5 Pb 0.000 0.000 0.000
6 Pb 0.500 0.500 0.000
7 Au 0.151 0.651 0.500
8 Au 0.349 0.151 0.500
9 Au 0.651 0.849 0.500
10 Au 0.849 0.349 0.500

=====

Here is an optimized crystal structure of CeNdGaSn from the Alexandria database. Energies are from PBE.

Results
size of the total moment	1.3	μB/cell
DOS(E_F)	1.988	states/eV/atom
SG	F-43m, No. 216
energy relative to the elements	-0.513	eV/atom
distance to the lowest polymorph of the same formula	0.000	eV per atom
calculated volume	108.7	Å³/cell
energy	-19.78	eV per formula unit

Cell: 5.357 5.357 5.357 Å, 60.00 60.00 60.00°
Sites, in units of the cell vectors:
1 Ce 0.000 0.000 0.000
2 Nd 0.500 0.500 0.500
3 Ga 0.250 0.250 0.250
4 Sn 0.750 0.750 0.750

=====

Here is an optimized crystal structure of CsMgNpI6 from the Alexandria database. Energies are from PBE.

Results
raw formation energy	-1.0691	eV/atom
size of the total moment	8.0	μB/cell
DOS(E_F)	0.945	states/eV/atom
SG	P-31c, No. 163
calculated volume	936.4	Å³/cell
energy	-34.31	eV per formula unit

Cell: 7.910 7.910 17.281 Å, 90.00 90.00 120.00°
Sites, in units of the cell vectors:
1 Cs 0.000 0.000 0.000
2 Cs 0.000 0.000 0.500
3 Mg 0.333 0.667 0.250
4 Mg 0.667 0.333 0.750
5 Np 0.333 0.667 0.750
6 Np 0.667 0.333 0.250
7 I 0.016 0.379 0.150
8 I 0.016 0.636 0.350
9 I 0.364 0.379 0.350
10 I 0.364 0.984 0.150
11 I 0.379 0.016 0.650
12 I 0.379 0.364 0.850
13 I 0.621 0.636 0.150
14 I 0.621 0.984 0.350
15 I 0.636 0.016 0.850
16 I 0.636 0.621 0.650
17 I 0.984 0.364 0.650
18 I 0.984 0.621 0.850

=====

Here is an optimized crystal structure of Ac2In12Pt from the Alexandria database. Energies are from PBE.

Results
size of the total moment	0.0	μB/cell
DOS(E_F)	0.407	states/eV/atom
SG	P4/nbm, No. 125
energy relative to the elements	-0.299	eV/atom
calculated volume	826.1	Å³/cell
energy	-51.61	eV per formula unit

Cell: 6.851 6.851 17.602 Å, 90.00 90.00 90.00°
Sites, in units of the cell vectors:
1 Ac 0.250 0.750 0.242
2 Ac 0.250 0.750 0.758
3 Ac 0.750 0.250 0.242
4 Ac 0.750 0.250 0.758
5 In 0.000 0.000 0.085
6 In 0.000 0.000 0.915
7 In 0.000 0.500 0.085
8 In 0.000 0.500 0.915
9 In 0.085 0.585 0.430
10 In 0.085 0.915 0.570
11 In 0.250 0.250 0.185
12 In 0.250 0.250 0.343
13 In 0.250 0.250 0.657
14 In 0.250 0.250 0.815
15 In 0.415 0.585 0.570
16 In 0.415 0.915 0.430
17 In 0.500 0.000 0.085
18 In 0.500 0.000 0.915
19 In 0.500 0.500 0.085
20 In 0.500 0.500 0.915
21 In 0.585 0.085 0.570
22 In 0.585 0.415 0.430
23 In 0.750 0.750 0.185
24 In 0.750 0.750 0.343
25 In 0.750 0.750 0.657
26 In 0.750 0.750 0.815
27 In 0.915 0.085 0.430
28 In 0.915 0.415 0.570
29 Pt 0.250 0.750 0.000
30 Pt 0.750 0.250 0.000

=====

Here is an optimized crystal structure of MnNbSbTe2 from the Alexandria database. Energies are from PBE.

Results
raw formation energy	0.5798	eV/atom
size of the total moment	5.3	μB/cell
DOS(E_F)	0.749	states/eV/atom
SG	P4/mmm, No. 123
distance to the lowest polymorph of the same formula	0.000	eV per atom
calculated volume	159.0	Å³/cell
energy	-26.75	eV per formula unit

Cell: 5.396 5.396 5.462 Å, 90.00 90.00 90.00°
Sites, in units of the cell vectors:
1 Mn 0.000 0.000 0.000
2 Nb 0.500 0.500 0.500
3 Sb 0.500 0.500 0.000
4 Te 0.000 0.500 0.500
5 Te 0.500 0.000 0.500

=====

Here is an optimized crystal structure of Li2SbI5 from the Alexandria database. Energies are from PBE.

Results
raw formation energy	-0.7122	eV/atom
size of the total moment	0.0	μB/cell
SG	C2, No. 5
calculated volume	298.7	Å³/cell
energy	-21.40	eV per formula unit

Cell: 7.603 7.603 9.545 Å, 128.63 128.63 47.84°
Sites, in units of the cell vectors:
1 Li 0.187 0.187 0.307
2 Li 0.813 0.813 0.693
3 Sb 0.987 0.013 0.500
4 I 0.083 0.075 0.882
5 I 0.285 0.287 0.689
6 I 0.512 0.488 0.500
7 I 0.713 0.715 0.311
8 I 0.925 0.917 0.118

=====

Here is an optimized crystal structure of Nd2TmAl from the Alexandria database. Energies are from PBE.

Results
size of the total moment	0.0	μB/cell
DOS(E_F)	1.588	states/eV/atom
SG	Fm-3m, No. 225
energy relative to the elements	-0.072	eV/atom
distance to the lowest polymorph of the same formula	0.101	eV per atom
calculated volume	113.8	Å³/cell
energy	-18.04	eV per formula unit

Cell: 5.439 5.439 5.439 Å, 60.00 60.00 60.00°
Sites, in units of the cell vectors:
1 Nd 0.250 0.250 0.250
2 Nd 0.750 0.750 0.750
3 Tm 0.000 0.000 0.000
4 Al 0.500 0.500 0.500

=====

Here is an optimized crystal structure of TbNiGe2Pd from the Alexandria database. Energies are from PBE.

Results
size of the total moment	0.0	μB/cell
DOS(E_F)	0.619	states/eV/atom
SG	I-4m2, No. 119
energy relative to the elements	-0.722	eV/atom
calculated volume	87.9	Å³/cell
energy	-28.45	eV per formula unit

Cell: 5.832 5.832 5.832 Å, 137.98 137.98 60.94°
Sites, in units of the cell vectors:
1 Tb 0.000 0.000 0.000
2 Ni 0.250 0.750 0.500
3 Ge 0.377 0.377 0.000
4 Ge 0.623 0.623 0.000
5 Pd 0.750 0.250 0.500

=====

Here is an optimized crystal structure of ScBeWS2 from the Alexandria database. Energies are from PBE.

Results
raw formation energy	0.7466	eV/atom
size of the total moment	0.6	μB/cell
DOS(E_F)	0.740	states/eV/atom
SG	P4/mmm, No. 123
calculated volume	77.1	Å³/cell
energy	-27.53	eV per formula unit

Cell: 4.232 4.232 4.303 Å, 90.00 90.00 90.00°
Sites, in units of the cell vectors:
1 Sc 0.000 0.000 0.000
2 Be 0.000 0.000 0.500
3 W 0.500 0.500 0.000
4 S 0.000 0.500 0.500
5 S 0.500 0.000 0.500

=====

Here is an optimized crystal structure of BaHfZnCd2 from the Alexandria database. Energies are from PBE.

Results
size of the total moment	0.0	μB/cell
DOS(E_F)	1.601	states/eV/atom
SG	P4/mmm, No. 123
energy relative to the elements	0.313	eV/atom
calculated volume	165.9	Å³/cell
energy	-13.41	eV per formula unit

Cell: 5.632 5.632 5.232 Å, 90.00 90.00 90.00°
Sites, in units of the cell vectors:
1 Ba 0.000 0.000 0.000
2 Hf 0.500 0.500 0.500
3 Zn 0.500 0.500 0.000
4 Cd 0.000 0.500 0.500
5 Cd 0.500 0.000 0.500

=====

Here is an optimized crystal structure of K2SiSnTe from the Alexandria database. Energies are from PBE.

Results
raw formation energy	0.2945	eV/atom
size of the total moment	1.5	μB/cell
DOS(E_F)	0.580	states/eV/atom
SG	P4/mmm, No. 123
calculated volume	225.7	Å³/cell
energy	-13.29	eV per formula unit

Cell: 6.554 6.554 5.253 Å, 90.00 90.00 90.00°
Sites, in units of the cell vectors:
1 K 0.000 0.500 0.000
2 K 0.500 0.000 0.000
3 Si 0.000 0.000 0.500
4 Sn 0.500 0.500 0.500
5 Te 0.000 0.000 0.000

=====

Here is an optimized crystal structure of Y2TlPt from the Alexandria database. Energies are from PBE.

Results
size of the total moment	0.8	μB/cell
DOS(E_F)	0.958	states/eV/atom
SG	F-43m, No. 216
energy relative to the elements	-0.340	eV/atom
distance to the lowest polymorph of the same formula	0.457	eV per atom
calculated volume	91.6	Å³/cell
energy	-22.70	eV per formula unit

Cell: 5.060 5.060 5.060 Å, 60.00 60.00 60.00°
Sites, in units of the cell vectors:
1 Y 0.000 0.000 0.000
2 Y 0.250 0.250 0.250
3 Tl 0.500 0.500 0.500
4 Pt 0.750 0.750 0.750